Material: KPaZn2O6
Method: DFT, GGA-PBE
State: optimized geometry

Computed properties:
Calculated volume = 646 Å³/cell
M_tot = 0.00 μB/cell
E_form (uncorrected) = -19.53 eV/f.u.

a b c (Å): 10.2300 10.9633 5.8360
angles (deg): 90.00 99.32 90.00
Space group C2/c (No. 15)
Asymmetric unit:
K: 0.0000 0.0715 0.2500 [4 per cell]
Pa: 0.0000 0.2877 0.7500 [4 per cell]
Zn: 0.1968 0.4244 0.1819 [8 per cell]
O: 0.0452 0.3014 0.1639 [8 per cell]
O: 0.1316 0.1467 0.7136 [8 per cell]
O: 0.1556 0.4244 0.8284 [8 per cell]

Material: ZrGeTe2N
Method: DFT, GGA-PBE
State: optimized geometry

Computed properties:
Energy above the lowest structure with this stoichiometry = 0.0 meV/atom
Calculated volume = 134 Å³/cell
M_tot = 0.00 μB/cell
E_form (uncorrected) = 0.63 eV/f.u.

a b c (Å): 5.7768 5.7768 4.0196
angles (deg): 90.00 90.00 90.00
Space group P4/mmm (No. 123)
Asymmetric unit:
Zr: 0.0000 0.0000 0.0000 [1 per cell]
Ge: 0.5000 0.5000 0.5000 [1 per cell]
Te: 0.0000 0.5000 0.0000 [2 per cell]
N: 0.0000 0.0000 0.5000 [1 per cell]

Material: Zr5Si2Ge
Method: DFT, GGA-PBE
State: optimized geometry

Computed properties:
Calculated volume = 622 Å³/cell
M_tot = 0.00 μB/cell
E_form (uncorrected) = -6.44 eV/f.u.

a b c (Å): 7.0356 7.0356 12.5563
angles (deg): 90.00 90.00 90.00
Space group I4/mcm (No. 140)
Asymmetric unit:
Zr: 0.0000 0.0000 0.0000 [4 per cell]
Zr: 0.1660 0.3340 0.1464 [16 per cell]
Si: 0.1277 0.3723 0.5000 [8 per cell]
Ge: 0.0000 0.0000 0.2500 [4 per cell]

Copy entry 2 word for word.
Material: ZrGeTe2N
Method: DFT, GGA-PBE
State: optimized geometry

Computed properties:
Energy above the lowest structure with this stoichiometry = 0.0 meV/atom
Calculated volume = 134 Å³/cell
M_tot = 0.00 μB/cell
E_form (uncorrected) = 0.63 eV/f.u.

a b c (Å): 5.7768 5.7768 4.0196
angles (deg): 90.00 90.00 90.00
Space group P4/mmm (No. 123)
Asymmetric unit:
Zr: 0.0000 0.0000 0.0000 [1 per cell]
Ge: 0.5000 0.5000 0.5000 [1 per cell]
Te: 0.0000 0.5000 0.0000 [2 per cell]
N: 0.0000 0.0000 0.5000 [1 per cell]